No. 1
# CeHoMg2 (SCAN, PBEsol geometry)
data_CeHoMg2
_chemical_formula_sum 'Ce1 Ho1 Mg2'
_space_group_name_H-M_alt 'P 1'
_space_group_IT_number 1
_cell_length_a 5.297
_cell_length_b 5.297
_cell_length_c 5.297
_cell_angle_alpha 60.00
_cell_angle_beta 60.00
_cell_angle_gamma 60.00
loop_
_space_group_symop_operation_xyz
'x,y,z'
loop_
_atom_site_label
_atom_site_type_symbol
_atom_site_fract_x
_atom_site_fract_y
_atom_site_fract_z
Mg1 Mg 0.750 0.750 0.750
Mg2 Mg 0.250 0.250 0.250
Ho1 Ho 0.000 0.000 0.000
Ce1 Ce 0.500 0.500 0.500
# M_tot	0.263	μB/atom
# ΔH_f (0 K)	-0.013	eV/atom

=====

No. 2
# LaCoSb (SCAN, PBEsol geometry)
data_LaCoSb
_chemical_formula_sum 'La1 Co1 Sb1'
_space_group_name_H-M_alt 'P 1'
_space_group_IT_number 1
_cell_length_a 4.232
_cell_length_b 4.330
_cell_length_c 4.330
_cell_angle_alpha 120.00
_cell_angle_beta 90.00
_cell_angle_gamma 90.00
loop_
_space_group_symop_operation_xyz
'x,y,z'
loop_
_atom_site_label
_atom_site_type_symbol
_atom_site_fract_x
_atom_site_fract_y
_atom_site_fract_z
Co1 Co 0.166 0.000 0.000
La1 La 0.667 0.333 0.667
Sb1 Sb 0.167 0.667 0.333
# formation energy (no corrections)	-613	meV per atom
# M_tot	0.299	μB/atom